# 1
The following is a PBE calculation of a geometry-optimized Th3GePd structure, from Alexandria.

a b c (Å): 7.1008 7.1008 21.2702
angles (deg): 90.00 90.00 120.00
Space group R-3 (No. 148, hexagonal axes)
Inequivalent atoms, fractional coordinates:
Th1 0.0034 0.3553 0.0869 x18
Ge1 0.0000 0.0000 0.1573 x6
Pd1 0.0000 0.0000 0.3326 x6

# 2
The following is a PBE calculation of a geometry-optimized Th2Ge3Pd structure, from Alexandria.

a b c (Å): 4.100 4.453 7.317
angles (deg): 90.00 90.00 90.00
Space group Pmm2 (No. 25)
Inequivalent atoms, fractional coordinates:
Th1 0.000 0.000 0.000 x1
Th2 0.000 0.500 0.496 x1
Ge1 0.500 0.000 0.328 x1
Ge2 0.500 0.000 0.669 x1
Ge3 0.500 0.500 0.165 x1
Pd1 0.500 0.500 0.828 x1

# 3
The following is a PBE calculation of a geometry-optimized Th2GePd structure, from Alexandria.

a b c (Å): 3.796 3.796 6.741
angles (deg): 90.00 90.00 90.00
Space group P4/mmm (No. 123)
Inequivalent atoms, fractional coordinates:
Th1 0.000 0.000 0.245 x2
Ge1 0.500 0.500 0.000 x1
Pd1 0.500 0.500 0.500 x1

# 4
The following is a PBE calculation of a geometry-optimized ThGePd2 structure, from Alexandria.

a b c (Å): 8.098 6.943 5.640
angles (deg): 90.00 90.00 90.00
Space group Pnma (No. 62)
Inequivalent atoms, fractional coordinates:
Th1 0.056 0.250 0.159 x4
Ge1 0.109 0.750 0.333 x4
Pd1 0.179 0.046 0.606 x8

# 5
The following is a PBE calculation of a geometry-optimized Th2GePd8 structure, from Alexandria.

a b c (Å): 4.882 5.961 14.081
angles (deg): 90.00 90.00 90.00
Space group Immm (No. 71)
Inequivalent atoms, fractional coordinates:
Th1 0.000 0.000 0.183 x4
Ge1 0.000 0.000 0.500 x2
Pd1 0.000 0.256 0.368 x8
Pd2 0.000 0.263 0.000 x4
Pd3 0.000 0.500 0.186 x4

# 6
The following is a PBE calculation of a geometry-optimized Th2GePd structure, from Alexandria.

a b c (Å): 3.8359 3.8359 27.6809
angles (deg): 90.00 90.00 120.00
Space group R-3m (No. 166, hexagonal axes)
Inequivalent atoms, fractional coordinates:
Th1 0.0000 0.0000 0.0981 x6
Ge1 0.0000 0.0000 0.5000 x3
Pd1 0.0000 0.0000 0.0000 x3

# 7
The following is a PBE calculation of a geometry-optimized ThGePd3 structure, from Alexandria.

a b c (Å): 5.735 11.286 5.927
angles (deg): 90.00 90.00 90.00
Space group Cmcm (No. 63)
Inequivalent atoms, fractional coordinates:
Th1 0.000 0.235 0.250 x4
Ge1 0.000 0.113 0.750 x4
Pd1 0.000 0.329 0.750 x4
Pd2 0.236 0.500 0.000 x8

As for the energy relative to the lowest polymorph listed for this composition: 0.0 meV/atom.

# 8
The following is a PBE calculation of a geometry-optimized ThGe2Pd7 structure, from Alexandria.

a b c (Å): 4.149 4.149 20.558
angles (deg): 90.00 90.00 90.00
Space group I4/mmm (No. 139)
Inequivalent atoms, fractional coordinates:
Th1 0.000 0.000 0.000 x2
Ge1 0.000 0.000 0.323 x4
Pd1 0.000 0.000 0.500 x2
Pd2 0.000 0.500 0.105 x8
Pd3 0.000 0.500 0.250 x4

As for the energy relative to the lowest polymorph listed for this composition: 0.0 meV/atom.

# 9
The following is a PBE calculation of a geometry-optimized ThGe2Pd structure, from Alexandria.

a b c (Å): 6.971 4.400 10.753
angles (deg): 90.00 90.00 90.00
Space group Pnma (No. 62)
Inequivalent atoms, fractional coordinates:
Th1 0.174 0.250 0.132 x4
Ge1 0.139 0.250 0.847 x4
Ge2 0.183 0.250 0.426 x4
Pd1 0.008 0.250 0.636 x4

# 10
The following is a PBE calculation of a geometry-optimized ThGe2Pd6 structure, from Alexandria.

a b c (Å): 5.5238 5.5238 6.7131
angles (deg): 90.00 90.00 120.00
Space group P6/mmm (No. 191)
Inequivalent atoms, fractional coordinates:
Th1 0.0000 0.0000 0.0000 x1
Ge1 0.3333 0.6667 0.5000 x2
Pd1 0.0000 0.5000 0.2086 x6

# 11
The following is a PBE calculation of a geometry-optimized Th4Ge2Pd structure, from Alexandria.

a b c (Å): 8.925 8.925 9.374
angles (deg): 90.00 90.00 90.00
Space group I-42d (No. 122)
Inequivalent atoms, fractional coordinates:
Th1 0.071 0.187 0.309 x16
Ge1 0.116 0.250 0.625 x8
Pd1 0.000 0.000 0.000 x4

# 12
The following is a PBE calculation of a geometry-optimized Th2TiGe4Pd3 structure, from Alexandria.

a b c (Å): 4.304 4.304 10.552
angles (deg): 90.00 90.00 90.00
Space group P-4m2 (No. 115)
Inequivalent atoms, fractional coordinates:
Th1 0.000 0.500 0.242 x2
Ti1 0.000 0.000 0.500 x1
Ge1 0.000 0.000 0.000 x1
Ge2 0.000 0.500 0.639 x2
Ge3 0.500 0.500 0.000 x1
Pd1 0.000 0.500 0.875 x2
Pd2 0.500 0.500 0.500 x1

no.,energy of formation from the pure elements (kJ per mole of atoms),VASP energy (eV/atom)
1,-31,-6.737
2,-74,-6.417
3,-57,-6.758
4,-81,-6.449
5,-69,-6.256
6,-5,-6.209
7,-73,-6.276
8,-63,-5.949
9,-70,-6.191
10,-51,-5.845
11,-58,-6.901
12,-73,-6.437